Compound: Rb2PH6S3O3
Source: Alexandria via LeMat-Bulk
Functional: GGA-PBEsol
Structure: relaxed

a b c (Å): 8.987 9.087 12.682
angles (deg): 90.00 90.00 114.70
Sites, in units of the cell vectors:
Rb  0.385  0.816  0.310
H  0.882  0.553  0.122
O  0.929  0.191  0.606
O  0.952  0.433  0.814
O  0.800  0.076  0.422
S  0.681  0.654  0.345
H  0.118  0.172  0.348
S  0.544  0.788  0.556
S  0.225  0.921  0.092
S  0.544  0.288  0.944
H  0.882  0.828  0.652
S  0.775  0.579  0.592
Rb  0.385  0.316  0.190
S  0.319  0.346  0.655
O  0.071  0.309  0.106
H  0.949  0.255  0.107
Rb  0.615  0.684  0.810
S  0.456  0.212  0.444
O  0.800  0.576  0.078
H  0.076  0.480  0.154
O  0.048  0.067  0.314
Rb  0.615  0.184  0.690
H  0.720  0.972  0.453
S  0.319  0.846  0.845
O  0.048  0.567  0.186
S  0.775  0.079  0.908
Rb  0.850  0.397  0.364
P  0.613  0.618  0.498
O  0.071  0.809  0.394
Rb  0.150  0.103  0.864
H  0.882  0.053  0.378
H  0.106  0.844  0.470
Rb  0.150  0.603  0.636
P  0.387  0.382  0.502
H  0.894  0.656  0.970
H  0.924  0.020  0.654
P  0.387  0.882  0.998
H  0.106  0.344  0.030
H  0.894  0.156  0.530
S  0.456  0.712  0.056
H  0.280  0.028  0.547
P  0.613  0.118  0.002
O  0.952  0.933  0.686
H  0.051  0.745  0.893
H  0.882  0.328  0.848
O  0.200  0.424  0.922
H  0.118  0.947  0.622
H  0.118  0.447  0.878
H  0.051  0.245  0.607
O  0.200  0.924  0.578
Rb  0.850  0.897  0.136
S  0.225  0.421  0.408
H  0.280  0.528  0.953
S  0.681  0.154  0.155
O  0.929  0.691  0.894
H  0.924  0.520  0.846
H  0.949  0.755  0.393
H  0.118  0.672  0.152
H  0.076  0.980  0.346
H  0.720  0.472  0.047

Values from the calculation:
Electronic total energy = -4.79 eV/atom
DOS(E_F) = 0.00 states/eV/cell
Calculated volume = 15.68 Å³ per atom